VASP calculation (GGA-PBE) on crystalline Ac2Pa3CoNi12 at its relaxed geometry.

Values from the calculation:
SG: R-3m, No. 166
ΔH_f (0 K): -0.08 eV per atom

a b c (Å): 6.7611 6.7611 6.7611
angles (deg): 82.83 82.83 82.83
Element x y z (fractional)
Ac (0.1383, 0.1383, 0.1383)
Ac (0.8617, 0.8617, 0.8617)
Pa (0.0000, 0.5000, 0.5000)
Pa (0.5000, 0.0000, 0.5000)
Pa (0.5000, 0.5000, 0.0000)
Co (0.5000, 0.5000, 0.5000)
Ni (0.1023, 0.1023, 0.5812)
Ni (0.1023, 0.5812, 0.1023)
Ni (0.2532, 0.6966, 0.6966)
Ni (0.3034, 0.3034, 0.7468)
Ni (0.3034, 0.7468, 0.3034)
Ni (0.4188, 0.8977, 0.8977)
Ni (0.5812, 0.1023, 0.1023)
Ni (0.6966, 0.2532, 0.6966)
Ni (0.6966, 0.6966, 0.2532)
Ni (0.7468, 0.3034, 0.3034)
Ni (0.8977, 0.4188, 0.8977)
Ni (0.8977, 0.8977, 0.4188)


VASP calculation (GGA-PBE) on crystalline Ac6CoNi2Pd at its relaxed geometry.

Values from the calculation:
SG: P1, No. 1
ΔH_f (0 K): -0.24 eV per atom

a b c (Å): 7.3851 7.3854 7.9770
angles (deg): 117.54 90.04 119.93
Element x y z (fractional)
Ac (0.0000, 0.0000, 0.0000)
Ac (0.1270, 0.6474, 0.4855)
Ac (0.2774, 0.6426, 0.9996)
Ac (0.4804, 0.3305, 0.4852)
Ac (0.6432, 0.3651, 0.9995)
Ac (0.7975, 0.0008, 0.4851)
Co (0.0678, 0.8578, 0.2823)
Ni (0.2096, 0.1415, 0.7080)
Ni (0.7052, 0.1338, 0.1966)
Pd (0.5661, 0.8545, 0.7779)


VASP calculation (GGA-PBE) on crystalline AcPmCoNi at its relaxed geometry.

Values from the calculation:
SG: F-43m, No. 216
ΔH_f (0 K): -0.02 eV per atom

a b c (Å): 5.0169 5.0169 5.0169
angles (deg): 60.00 60.00 60.00
Element x y z (fractional)
Ac (0.0000, 0.0000, 0.0000)
Pm (0.5000, 0.5000, 0.5000)
Co (0.2500, 0.2500, 0.2500)
Ni (0.7500, 0.7500, 0.7500)


VASP calculation (GGA-PBE) on crystalline AcPrCoNi at its relaxed geometry.

Values from the calculation:
E above lowest polymorph: 0 meV per atom
SG: R3m, No. 160
ΔH_f (0 K): -0.15 eV per atom

a b c (Å): 7.8407 7.8407 7.8407
angles (deg): 30.00 30.00 30.00
Element x y z (fractional)
Ac (0.0000, 0.0000, 0.0000)
Pr (0.8273, 0.8273, 0.8273)
Co (0.5762, 0.5762, 0.5762)
Ni (0.2430, 0.2430, 0.2430)


VASP calculation (GGA-PBE) on crystalline AcPrCoNi at its relaxed geometry.

Values from the calculation:
E above lowest polymorph: 157 meV per atom
SG: F-43m, No. 216
ΔH_f (0 K): 0.00 eV per atom

a b c (Å): 5.0535 5.0535 5.0535
angles (deg): 60.00 60.00 60.00
Element x y z (fractional)
Ac (0.0000, 0.0000, 0.0000)
Pr (0.5000, 0.5000, 0.5000)
Co (0.2500, 0.2500, 0.2500)
Ni (0.7500, 0.7500, 0.7500)


VASP calculation (GGA-PBE) on crystalline Ac6CoNiPt2 at its relaxed geometry.

Values from the calculation:
SG: R3, No. 146
ΔH_f (0 K): -0.51 eV per atom

a b c (Å): 8.1738 8.1738 8.1738
angles (deg): 54.84 54.84 54.84
Element x y z (fractional)
Ac (0.0219, 0.3149, 0.6632)
Ac (0.1550, 0.8230, 0.5289)
Ac (0.3149, 0.6632, 0.0219)
Ac (0.5289, 0.1550, 0.8230)
Ac (0.6632, 0.0219, 0.3149)
Ac (0.8230, 0.5289, 0.1550)
Co (0.9238, 0.9238, 0.9238)
Ni (0.4225, 0.4225, 0.4225)
Pt (0.2421, 0.2421, 0.2421)
Pt (0.7410, 0.7410, 0.7410)